1.
DFT (PBE) results for an optimized crystal structure of Pr3Zr.

Calculated values
Total moment: 0.000 μB/f.u.
Formation enthalpy at 0 K: 0.154 eV/atom

Cell lengths 5.040, 5.040, 5.040 Å; angles 90.00, 90.00, 90.00 degrees
Atoms (fractional coordinates):
Pr 0.500 0.000 0.500
Zr 0.000 0.000 0.000
Pr 0.500 0.500 0.000
Pr 0.000 0.500 0.500

2.
DFT (PBE) results for an optimized crystal structure of Pr2Zr.

Calculated values
Total moment: 0.000 μB/f.u.
Formation enthalpy at 0 K: 0.137 eV/atom

Cell lengths 3.461, 3.461, 8.138 Å; angles 102.28, 102.28, 90.00 degrees
Atoms (fractional coordinates):
Pr 0.346 0.346 0.692
Pr 0.654 0.654 0.308
Zr 0.000 0.000 0.000

3.
DFT (PBE) results for an optimized crystal structure of Pr5Zr.

Calculated values
Total moment: 0.000 μB/f.u.
Formation enthalpy at 0 K: 0.101 eV/atom

Cell lengths 5.093, 5.095, 8.151 Å; angles 108.21, 90.00, 90.00 degrees
Atoms (fractional coordinates):
Pr 0.500 0.160 0.319
Pr 0.500 0.840 0.681
Zr 0.000 0.000 0.000
Pr 0.000 0.659 0.318
Pr 0.000 0.341 0.682
Pr 0.500 0.500 0.000

4.
DFT (PBE) results for an optimized crystal structure of Pr3Zr.

Calculated values
Total moment: 0.000 μB/f.u.
Formation enthalpy at 0 K: 0.157 eV/atom

Cell lengths 5.054, 5.054, 6.158 Å; angles 114.23, 114.23, 90.00 degrees
Atoms (fractional coordinates):
Pr 0.750 0.250 0.500
Pr 0.250 0.750 0.500
Zr 0.000 0.000 0.000
Pr 0.500 0.500 0.000

5.
DFT (PBE) results for an optimized crystal structure of PrZr5.

Calculated values
Total moment: 0.000 μB/f.u.
Formation enthalpy at 0 K: 0.136 eV/atom

Cell lengths 4.625, 4.609, 7.334 Å; angles 108.31, 90.00, 90.00 degrees
Atoms (fractional coordinates):
Zr 0.500 0.500 0.000
Zr 0.000 0.671 0.343
Zr 0.500 0.172 0.344
Zr 0.500 0.828 0.656
Zr 0.000 0.329 0.657
Pr 0.000 0.000 0.000

6.
DFT (PBE) results for an optimized crystal structure of PuPt4.

Calculated values
Total moment: 4.494 μB/f.u.
Formation enthalpy at 0 K: -0.400 eV/atom

Cell lengths 7.935, 7.935, 7.935 Å; angles 109.47, 109.47, 109.47 degrees
Last column: magnetic moment on the atom in μB.
Atoms (fractional coordinates):
Pt 0.000 0.651 0.651  -0.17
Pt 0.750 0.500 0.250  -0.14
Pt 0.000 0.218 0.000  -0.18
Pt 0.218 0.000 0.000  -0.18
Pt 0.250 0.500 0.750  -0.14
Pt 0.500 0.250 0.750  -0.14
Pt 0.651 0.000 0.651  -0.17
Pt 0.349 0.000 0.349  -0.17
Pu 0.000 0.000 0.562  4.95
Pt 0.250 0.750 0.500  -0.14
Pt 0.349 0.349 0.000  -0.17
Pt 0.000 0.000 0.218  -0.18
Pt 0.000 0.349 0.349  -0.17
Pt 0.782 0.782 0.782  -0.18
Pt 0.500 0.750 0.250  -0.14
Pt 0.651 0.651 0.000  -0.17
Pu 0.562 0.000 0.000  4.95
Pu 0.000 0.562 0.000  4.95
Pu 0.438 0.438 0.438  4.95
Pt 0.750 0.250 0.500  -0.14

7.
DFT (PBE) results for an optimized crystal structure of PuPt4.

Calculated values
Total moment: 4.075 μB/f.u.
Formation enthalpy at 0 K: 1.221 eV/atom

Cell lengths 4.961, 4.961, 4.961 Å; angles 90.00, 90.00, 90.00 degrees
Last column: magnetic moment on the atom in μB.
Atoms (fractional coordinates):
Pt 0.000 0.500 0.500  -0.08
Pu 0.500 0.500 0.500  4.24
Pt 0.000 0.000 0.000  0.01
Pt 0.500 0.500 0.000  -0.08
Pt 0.500 0.000 0.500  -0.08

8.
DFT (PBE) results for an optimized crystal structure of PuPt.

Calculated values
Total moment: 5.534 μB/f.u.
Formation enthalpy at 0 K: -0.683 eV/atom

Cell lengths 4.007, 4.477, 7.264 Å; angles 90.00, 106.01, 90.00 degrees
Last column: magnetic moment on the atom in μB.
Atoms (fractional coordinates):
Pt 0.672 0.500 0.343  -0.02
Pu 0.835 0.000 0.670  5.32
Pu 0.165 0.000 0.330  5.32
Pu 0.000 0.500 0.000  5.26
Pt 0.500 0.000 0.000  0.01
Pt 0.328 0.500 0.657  -0.02

9.
DFT (PBE) results for an optimized crystal structure of PuPt4.

Calculated values
Total moment: 4.198 μB/f.u.
Formation enthalpy at 0 K: -0.567 eV/atom

Cell lengths 4.298, 5.878, 7.900 Å; angles 111.84, 105.78, 90.00 degrees
Last column: magnetic moment on the atom in μB.
Atoms (fractional coordinates):
Pu 0.887 0.137 0.774  4.63
Pt 0.306 0.325 0.612  -0.15
Pt 0.306 0.787 0.612  -0.15
Pu 0.113 0.863 0.226  4.63
Pt 0.694 0.213 0.388  -0.15
Pt 0.500 0.000 0.000  -0.12
Pt 0.500 0.500 0.000  -0.12
Pt 0.101 0.351 0.202  -0.12
Pt 0.694 0.675 0.388  -0.15
Pt 0.899 0.649 0.798  -0.12

10.
DFT (PBE) results for an optimized crystal structure of Pu3Pt.

Calculated values
Total moment: 17.501 μB/f.u.
Formation enthalpy at 0 K: -0.224 eV/atom

Cell lengths 6.489, 6.489, 5.136 Å; angles 90.00, 90.00, 60.00 degrees
Last column: magnetic moment on the atom in μB.
Atoms (fractional coordinates):
Pu 0.825 0.825 0.750  5.52
Pu 0.649 0.175 0.250  5.52
Pu 0.175 0.175 0.250  5.52
Pu 0.175 0.649 0.250  5.52
Pt 0.667 0.667 0.250  0.06
Pu 0.825 0.351 0.750  5.52
Pu 0.351 0.825 0.750  5.52
Pt 0.333 0.333 0.750  0.06

11.
DFT (PBE) results for an optimized crystal structure of Pu3Pt.

Calculated values
Total moment: 5.315 μB/f.u.
Formation enthalpy at 0 K: -0.240 eV/atom

Cell lengths 4.876, 4.876, 4.876 Å; angles 60.00, 60.00, 60.00 degrees
Last column: magnetic moment on the atom in μB.
Atoms (fractional coordinates):
Pu 0.000 0.000 0.000  -4.41
Pu 0.250 0.250 0.250  4.74
Pt 0.500 0.500 0.500  -0.01
Pu 0.750 0.750 0.750  4.74

12.
DFT (PBE) results for an optimized crystal structure of Pu5Pt.

Calculated values
Total moment: 16.618 μB/f.u.
Formation enthalpy at 0 K: -0.057 eV/atom

Cell lengths 3.757, 4.876, 8.097 Å; angles 107.52, 90.00, 90.00 degrees
Last column: magnetic moment on the atom in μB.
Atoms (fractional coordinates):
Pt 0.000 0.000 0.000  -0.01
Pu 0.000 0.674 0.347  -5.29
Pu 0.500 0.853 0.705  -5.22
Pu 0.000 0.326 0.653  -5.29
Pu 0.500 0.147 0.295  -5.22
Pu 0.500 0.500 0.000  5.09

13.
DFT (PBE) results for an optimized crystal structure of Pu3Pt.

Calculated values
Total moment: 5.771 μB/f.u.
Formation enthalpy at 0 K: -0.248 eV/atom

Cell lengths 5.187, 3.731, 4.566 Å; angles 90.00, 90.00, 90.00 degrees
Last column: magnetic moment on the atom in μB.
Atoms (fractional coordinates):
Pu 0.500 0.000 0.584  5.19
Pu 0.500 0.500 0.084  5.33
Pu 0.000 0.500 0.583  -4.97
Pt 0.000 0.000 0.083  0.11

14.
DFT (PBE) results for an optimized crystal structure of PuPt.

Calculated values
Total moment: 0.004 μB/f.u.
Formation enthalpy at 0 K: -0.204 eV/atom

Cell lengths 4.906, 3.442, 5.204 Å; angles 90.00, 118.12, 90.00 degrees
Atoms (fractional coordinates):
Pt 0.624 0.250 0.247
Pu 0.911 0.250 0.822
Pu 0.089 0.750 0.178
Pt 0.376 0.750 0.753

15.
DFT (PBE) results for an optimized crystal structure of Pu4Pt.

Calculated values
Total moment: 23.809 μB/f.u.
Formation enthalpy at 0 K: 0.204 eV/atom

Cell lengths 5.492, 5.492, 5.492 Å; angles 90.00, 90.00, 90.00 degrees
Last column: magnetic moment on the atom in μB.
Atoms (fractional coordinates):
Pt 0.500 0.500 0.500  -0.13
Pu 0.500 0.500 0.000  5.44
Pu 0.000 0.000 0.000  5.74
Pu 0.500 0.000 0.500  5.44
Pu 0.000 0.500 0.500  5.44

16.
DFT (PBE) results for an optimized crystal structure of Pu5Pt3.

Calculated values
Total moment: 6.504 μB/f.u.
Formation enthalpy at 0 K: -0.533 eV/atom

Cell lengths 5.191, 5.980, 5.980 Å; angles 107.99, 90.00, 90.00 degrees
Last column: magnetic moment on the atom in μB.
Atoms (fractional coordinates):
Pu 0.500 0.711 0.711  5.08
Pt 0.500 0.786 0.214  -0.06
Pu 0.000 0.500 0.000  -5.35
Pu 0.500 0.289 0.289  5.08
Pu 0.000 0.000 0.500  -5.35
Pt 0.000 0.500 0.500  0.02
Pt 0.500 0.214 0.786  -0.06
Pu 0.000 0.000 0.000  -5.52

17.
DFT (PBE) results for an optimized crystal structure of Pu5Pt3.

Calculated values
Total moment: 6.384 μB/f.u.
Formation enthalpy at 0 K: -0.488 eV/atom

Cell lengths 2.908, 8.327, 8.327 Å; angles 120.00, 90.00, 90.00 degrees
Last column: magnetic moment on the atom in μB.
Atoms (fractional coordinates):
Pu 0.000 0.333 0.667  -5.18
Pu 0.000 0.752 0.752  5.45
Pt 0.500 0.621 0.000  0.00
Pt 0.500 0.000 0.621  0.00
Pu 0.000 0.248 0.000  5.45
Pu 0.000 0.000 0.248  5.45
Pu 0.000 0.667 0.333  -5.18
Pt 0.500 0.379 0.379  0.00

18.
DFT (PBE) results for an optimized crystal structure of Pu3Pt.

Calculated values
Total moment: 17.273 μB/f.u.
Formation enthalpy at 0 K: -0.031 eV/atom

Cell lengths 4.017, 4.017, 7.553 Å; angles 105.42, 105.42, 90.00 degrees
Last column: magnetic moment on the atom in μB.
Atoms (fractional coordinates):
Pu 0.198 0.198 0.396  5.57
Pt 0.000 0.000 0.000  -0.13
Pu 0.500 0.500 0.000  5.20
Pu 0.802 0.802 0.604  5.57

19.
DFT (PBE) results for an optimized crystal structure of Pu5Pt3.

Calculated values
Total moment: 5.460 μB/f.u.
Formation enthalpy at 0 K: -0.554 eV/atom

Cell lengths 8.678, 8.678, 5.817 Å; angles 90.00, 90.00, 120.00 degrees
Last column: magnetic moment on the atom in μB.
Atoms (fractional coordinates):
Pt 0.614 0.614 0.750  0.09
Pt 0.000 0.386 0.750  0.09
Pt 0.386 0.386 0.250  0.09
Pt 0.000 0.614 0.250  0.09
Pu 0.747 0.000 0.750  -5.27
Pu 0.333 0.667 0.500  5.35
Pt 0.614 0.000 0.250  0.09
Pu 0.000 0.747 0.750  -5.27
Pu 0.667 0.333 0.500  5.35
Pu 0.253 0.000 0.250  -5.27
Pu 0.667 0.333 0.000  5.35
Pt 0.386 0.000 0.750  0.09
Pu 0.253 0.253 0.750  -5.27
Pu 0.333 0.667 0.000  5.35
Pu 0.000 0.253 0.250  -5.27
Pu 0.747 0.747 0.250  -5.27

20.
DFT (PBE) results for an optimized crystal structure of PuPt4.

Calculated values
Total moment: 4.519 μB/f.u.
Formation enthalpy at 0 K: -0.400 eV/atom

Cell lengths 5.022, 5.022, 4.358 Å; angles 90.00, 90.00, 114.96 degrees
Last column: magnetic moment on the atom in μB.
Atoms (fractional coordinates):
Pt 0.500 0.000 0.500  -0.12
Pt 0.658 0.342 0.000  -0.17
Pt 0.000 0.500 0.500  -0.12
Pu 0.000 0.000 0.000  4.90
Pt 0.342 0.658 0.000  -0.17